No. 1
Compound: DyHo4Sn
Source: the Alexandria database
Functional: PBE
Structure: optimized geometry

Properties
- Uncorrected energy: -4.71 eV per atom
- Space-group type: Cmc2_1, No. 36
- Formation energy: -0.219 eV per atom
- Crystal system: orthorhombic

```
DyHo4Sn
1.0
2.3618 -7.3663 0.0000
2.3618 7.3663 0.0000
0.0000 0.0000 9.9985
Dy Ho Sn
2 8 2
Direct
0.1683 0.8317 0.5000
0.8317 0.1683 0.0000
0.0078 0.9922 0.2446
0.1678 0.8322 0.9899
0.3249 0.6751 0.2447
0.4998 0.5002 0.4946
0.5002 0.4998 0.9946
0.6751 0.3249 0.7447
0.8322 0.1678 0.4899
0.9922 0.0078 0.7446
0.3332 0.6668 0.7445
0.6668 0.3332 0.2445
```

---

No. 2
Compound: YMn2Fe
Source: the Alexandria database
Functional: PBE
Structure: optimized geometry

Properties
- Uncorrected energy: -7.92 eV per atom
- Polymorph energy (0 for the lowest one): 221 meV/atom
- Space-group type: P2/m, No. 10
- Formation energy: 0.392 eV per atom
- Crystal system: monoclinic

```
YMn2Fe
1.0
2.9480 0.0000 0.0000
0.0000 4.1729 0.0000
-1.4143 0.0000 5.4009
Y Mn Fe
1 2 1
Direct
0.0000 0.0000 0.0000
0.3267 0.5000 0.7008
0.6733 0.5000 0.2992
0.5000 0.0000 0.5000
```